No. 1
This record from Alexandria via LeMat-Bulk describes an optimized crystal structure of Ce2BeAs4Pd3. The functional is PBE-GGA.

Values from the calculation:
E_tot ... -5.68 eV/atom
Energy relative to the elements ... -0.708 eV/atom

Cell and atoms, written as POSCAR:
```
Ce2BeAs4Pd3
1.0
-0.955 -0.252 4.264
-0.542 -4.327 -0.377
9.639 -1.388 2.077
Pd Ce As Be
3 2 4 1
direct
0.000 0.000 0.500
0.500 0.000 0.873
0.000 0.500 0.127
0.000 0.500 0.749
0.500 0.000 0.251
0.000 0.500 0.374
0.500 0.500 0.000
0.000 0.000 0.000
0.500 0.000 0.626
0.500 0.500 0.500
```

=====

No. 2
This record from Alexandria via LeMat-Bulk describes an optimized crystal structure of Ho2Sc3Ge4. The functional is PBE-GGA.

Values from the calculation:
E_tot ... -6.09 eV/atom
Energy relative to the elements ... -0.907 eV/atom

Cell and atoms, written as POSCAR:
```
Ho2Sc3Ge4
1.0
7.233 -0.121 0.000
-2.492 7.084 0.000
0.000 0.000 7.465
Ge Sc Ho
8 6 4
direct
0.135 0.508 0.868
0.635 0.508 0.632
0.865 0.492 0.132
0.365 0.492 0.368
0.343 0.084 0.959
0.843 0.084 0.541
0.157 0.916 0.459
0.657 0.916 0.041
0.742 0.247 0.832
0.258 0.753 0.168
0.500 0.500 0.000
0.242 0.247 0.668
0.758 0.753 0.332
0.000 0.500 0.500
0.564 0.193 0.322
0.436 0.807 0.678
0.936 0.807 0.822
0.064 0.193 0.178
```

=====

No. 3
This record from Alexandria via LeMat-Bulk describes an optimized crystal structure of NaAlPb2. The functional is PBE-GGA.

Values from the calculation:
E_tot ... -3.10 eV/atom
Energy relative to the elements ... 0.017 eV/atom

Cell and atoms, written as POSCAR:
```
NaAlPb2
1.0
3.757 0.000 0.000
0.000 3.757 0.000
0.000 0.000 7.693
Al Na Pb
1 1 2
direct
0.500 0.500 0.000
0.500 0.500 0.500
0.000 0.000 0.786
0.000 0.000 0.214
```

=====

No. 4
This record from Alexandria via LeMat-Bulk describes an optimized crystal structure of Ho3ErTh2. The functional is PBE-GGA.

Values from the calculation:
Polymorph energy (0 for the lowest one) ... 0 meV per atom
E_tot ... -5.50 eV/atom
Energy relative to the elements ... 0.027 eV/atom

Cell and atoms, written as POSCAR:
```
Ho3ErTh2
1.0
-0.908 -0.858 3.331
5.899 -8.043 -0.464
8.108 5.743 3.691
Th Ho Er
4 6 2
direct
0.250 0.377 0.417
0.750 0.623 0.583
0.750 0.122 0.917
0.250 0.878 0.083
0.750 0.631 0.918
0.250 0.869 0.418
0.250 0.369 0.082
0.250 0.376 0.749
0.750 0.131 0.582
0.750 0.624 0.251
0.750 0.124 0.249
0.250 0.876 0.751
```

=====

No. 5
This record from Alexandria via LeMat-Bulk describes an optimized crystal structure of La5Pm2Sb5. The functional is PBE-GGA.

Values from the calculation:
E_tot ... -5.54 eV/atom

Cell and atoms, written as POSCAR:
```
La5Pm2Sb5
1.0
4.524 0.000 0.000
-2.262 7.472 -0.228
0.000 -3.938 12.576
Sb La Pm
5 5 2
direct
0.121 0.241 0.429
0.685 0.370 0.793
0.315 0.630 0.207
0.000 0.000 0.000
0.879 0.759 0.571
0.339 0.678 0.955
0.729 0.458 0.344
0.500 0.000 0.500
0.271 0.542 0.656
0.661 0.322 0.045
0.962 0.925 0.214
0.038 0.075 0.786
```

=====

No. 6
This record from Alexandria via LeMat-Bulk describes an optimized crystal structure of BaCdIn2Ga. The functional is PBE-GGA.

Values from the calculation:
E_tot ... -2.64 eV/atom
Energy relative to the elements ... -0.368 eV/atom

Cell and atoms, written as POSCAR:
```
BaCdIn2Ga
1.0
-2.362 3.613 2.261
-1.671 -3.137 3.268
6.824 0.765 0.656
In Ba Ga Cd
2 1 1 1
direct
0.053 0.053 0.105
0.697 0.197 0.394
0.439 0.439 0.877
0.825 0.825 0.649
0.199 0.699 0.398
```

=====

No. 7
This record from Alexandria via LeMat-Bulk describes an optimized crystal structure of TaTiNbHg. The functional is PBE-GGA.

Values from the calculation:
Polymorph energy (0 for the lowest one) ... 0 meV per atom
E_tot ... -7.34 eV/atom
Energy relative to the elements ... 0.186 eV/atom

Cell and atoms, written as POSCAR:
```
TaTiNbHg
1.0
4.699 0.000 0.000
2.349 4.069 0.000
2.349 1.356 3.836
Nb Ta Hg Ti
1 1 1 1
direct
0.250 0.250 0.250
0.500 0.500 0.500
0.000 0.000 0.000
0.750 0.750 0.750
```

=====

No. 8
This record from Alexandria via LeMat-Bulk describes an optimized crystal structure of CaSi2Sb. The functional is PBE-GGA.

Values from the calculation:
E_tot ... -4.13 eV/atom

Cell and atoms, written as POSCAR:
```
CaSi2Sb
1.0
7.905 0.000 0.000
0.000 7.905 0.000
3.953 3.953 3.068
Sb Si Ca
2 4 2
direct
0.750 0.250 0.500
0.000 0.000 0.000
0.098 0.625 0.250
0.875 0.902 0.750
0.652 0.125 0.250
0.375 0.348 0.750
0.500 0.500 0.000
0.250 0.750 0.500
```

=====

No. 9
This record from Alexandria via LeMat-Bulk describes an optimized crystal structure of TbNdSc2As4. The functional is PBE-GGA.

Values from the calculation:
E_tot ... -6.51 eV/atom
Energy relative to the elements ... -1.425 eV/atom

Cell and atoms, written as POSCAR:
```
TbNdSc2As4
1.0
4.056 0.000 0.000
0.000 6.988 -0.125
0.000 2.469 6.571
As Sc Tb Nd
4 2 1 1
direct
0.000 0.772 0.739
0.500 0.231 0.752
0.000 0.228 0.261
0.500 0.769 0.248
0.500 0.000 0.500
0.000 0.000 0.000
0.000 0.500 0.500
0.500 0.500 0.000
```

=====

No. 10
This record from Alexandria via LeMat-Bulk describes an optimized crystal structure of La4PrY. The functional is PBE-GGA.

Values from the calculation:
Polymorph energy (0 for the lowest one) ... 0 meV per atom
E_tot ... -5.15 eV/atom
Energy relative to the elements ... 0.012 eV/atom

Cell and atoms, written as POSCAR:
```
La4PrY
1.0
-3.109 -0.676 -1.880
-1.223 -13.556 6.898
-3.431 10.336 1.957
La Pr Y
8 2 2
direct
0.000 0.500 0.168
0.500 0.750 0.922
0.500 0.250 0.422
0.000 0.000 0.668
0.500 0.750 0.578
0.000 0.500 0.832
0.500 0.250 0.078
0.000 0.000 0.332
0.000 0.500 0.500
0.000 0.000 0.000
0.500 0.250 0.750
0.500 0.750 0.250
```

=====

No. 11
This record from Alexandria via LeMat-Bulk describes an optimized crystal structure of KHg2Mo. The functional is PBE-GGA.

Values from the calculation:
Polymorph energy (0 for the lowest one) ... 144 meV per atom
E_tot ... -2.47 eV/atom
Energy relative to the elements ... 0.668 eV/atom

Cell and atoms, written as POSCAR:
```
KHg2Mo
1.0
2.991 0.000 0.000
0.000 4.756 0.000
0.000 0.000 7.730
Hg Mo K
2 1 1
direct
0.000 0.000 0.928
0.500 0.500 0.222
0.500 0.500 0.854
0.000 0.000 0.496
```

=====

No. 12
This record from Alexandria via LeMat-Bulk describes an optimized crystal structure of ZrNiGeRh. The functional is PBE-GGA.

Values from the calculation:
E_tot ... -7.13 eV/atom
Energy relative to the elements ... -0.560 eV/atom

Cell and atoms, written as POSCAR:
```
ZrNiGeRh
1.0
4.429 0.000 0.000
2.214 3.836 0.000
2.214 1.279 3.616
Rh Zr Ge Ni
1 1 1 1
direct
0.000 0.000 0.000
0.750 0.750 0.750
0.250 0.250 0.250
0.500 0.500 0.500
```

=====

| no. | ρ (g/cm³) |
| --- | --- |
| 1 | 7.9 |
| 2 | 6.6 |
| 3 | 7.1 |
| 4 | 9.9 |
| 5 | 6.3 |
| 6 | 6.5 |
| 7 | 11.8 |
| 8 | 3.8 |
| 9 | 6.1 |
| 10 | 6.1 |
| 11 | 8.1 |
| 12 | 8.8 |